(1)
DFT (GGA-PBE) results for a relaxed structure of NpZn2Au2.

## Properties
The value obtained for the mass density is 12.5 g cm⁻³. The formation energy is -146 meV/atom. The calculation puts the polymorph energy (0 for the lowest one) at 0.0 meV/atom. Its space group is No. 139. The value obtained for the energy is -22.773 eV per cell.

Cell: 4.0173 4.0173 6.9002 Å, 106.92 106.92 90.00°
With the nearest neighbours (Å) after each atom.
Sites, in units of the cell vectors:
Zn (0.7500, 0.2500, 0.5000)  4 Au 2.67, 4 Zn 2.84
Zn (0.2500, 0.7500, 0.5000)  4 Au 2.67, 4 Zn 2.84
Au (0.3894, 0.3894, 0.7789)  4 Zn 2.67, 1 Au 2.78
Au (0.6106, 0.6106, 0.2211)  4 Zn 2.67, 1 Au 2.78
Np (0.0000, 0.0000, 0.0000)  8 Au 3.16

=====

(2)
DFT (GGA-PBE) results for a relaxed structure of Nd2Cu2PdO6.

## Properties
The value obtained for the mass density is 6.9 g cm⁻³. Its space group is No. 166. The value obtained for the energy is -69.104 eV per cell.

Cell: 5.8289 5.8289 6.0913 Å, 61.42 61.42 60.00°
With the nearest neighbours (Å) after each atom.
Sites, in units of the cell vectors:
O (0.7596, 0.2027, 0.2782)  1 Cu 1.88, 1 Pd 2.05
O (0.2027, 0.7596, 0.2782)  1 Cu 1.88, 1 Pd 2.05
O (0.2404, 0.2404, 0.7218)  1 Cu 1.88, 1 Pd 2.05
O (0.2404, 0.7973, 0.7218)  1 Cu 1.88, 1 Pd 2.05
O (0.7973, 0.2404, 0.7218)  1 Cu 1.88, 1 Pd 2.05
O (0.7596, 0.7596, 0.2782)  1 Cu 1.88, 1 Pd 2.05
Pd (0.0000, 0.0000, 0.0000)  6 O 2.05
Nd (0.2119, 0.2119, 0.3642)  3 O 2.35
Nd (0.7881, 0.7881, 0.6358)  3 O 2.35
Cu (0.4143, 0.4143, 0.7572)  3 O 1.88
Cu (0.5857, 0.5857, 0.2428)  3 O 1.88

=====

(3)
DFT (GGA-PBE) results for a relaxed structure of ZrTc3B.

## Properties
The value obtained for the mass density is 8.9 g cm⁻³. The formation energy is -142 meV/atom. The calculation puts the polymorph energy (0 for the lowest one) at 0.0 meV/atom. Its space group is No. 221. The value obtained for the energy is -47.033 eV per cell.

Cell: 4.1969 4.1969 4.1969 Å, 90.00 90.00 90.00°
With the nearest neighbours (Å) after each atom.
Sites, in units of the cell vectors:
B (0.0000, 0.0000, 0.0000)  6 Tc 2.10
Tc (0.5000, 0.0000, 0.0000)  2 B 2.10
Tc (0.0000, 0.5000, 0.0000)  2 B 2.10
Tc (0.0000, 0.0000, 0.5000)  2 B 2.10
Zr (0.5000, 0.5000, 0.5000)  12 Tc 2.97